Ac2Pm3Sm4: optimized geometry, PBE-GGA.

Calculated values
Its symmetry is P3m1 (156). The calculated density is 7.45 g/cm3. The value obtained for the density of states at the Fermi level is 16.60 states/eV/cell. The formation enthalpy at 0 K is 80 meV/atom. The total magnetic moment comes out at 0.000 μB per atom.

Unit cell a=3.734 b=3.734 c=27.519 alpha=90.00 beta=90.00 gamma=120.00
Atoms (fractional coordinates):
Ac  0.000  0.000  0.000
Ac  0.000  0.000  0.228
Pm  0.000  0.000  0.781
Pm  0.333  0.667  0.116
Pm  0.333  0.667  0.461
Sm  0.000  0.000  0.358
Sm  0.000  0.000  0.570
Sm  0.333  0.667  0.674
Sm  0.333  0.667  0.886